Material: Ge2IrAu2
Method: DFT, PBE-GGA
State: relaxed

Geometry as POSCAR:
```
Ge2IrAu2
1.0
-6.245 1.167 0.339
-1.212 -5.842 -2.210
-0.067 -1.590 4.240
Ge Au Ir
4 4 2
Cartesian
-3.335 -4.632 -1.789
-4.121 -0.043 -0.081
-6.177 -2.693 -1.107
-1.280 -1.982 -0.763
-5.534 -4.429 0.671
-5.156 -1.466 1.788
-2.367 -4.799 0.582
-1.989 -1.836 1.699
0.000 0.000 0.000
-3.728 -2.337 -0.935
```

Results
ΔH_f (0 K) = 0.16 eV per atom
V = 183.30 Å³ per cell
magnetic moment = 0.00 μB/f.u.
energy above the lowest structure with this stoichiometry = 0 meV/atom

=====

Material: Ge2IrAu
Method: DFT, PBE-GGA
State: relaxed

Geometry as POSCAR:
```
Ge2IrAu
1.0
-2.941 -0.317 2.227
-1.132 -3.347 1.107
2.405 -0.833 6.136
Ir Ge Au
1 2 1
Cartesian
-2.635 -2.435 2.331
1.551 -0.921 4.995
-0.570 -1.140 2.163
-0.848 -2.250 4.716
```

Results
ΔH_f (0 K) = 0.09 eV per atom
V = 74.69 Å³ per cell
magnetic moment = 0.00 μB/f.u.
energy above the lowest structure with this stoichiometry = 134 meV/atom

=====

Material: Ge2IrAu
Method: DFT, PBE-GGA
State: relaxed

Geometry as POSCAR:
```
Ge2IrAu
1.0
3.093 0.000 0.000
1.546 2.678 0.000
1.546 0.893 8.679
Ge Au Ir
2 1 1
Cartesian
4.639 2.678 2.497
1.546 0.893 6.181
0.000 0.000 0.000
3.093 1.786 4.339
```

Results
ΔH_f (0 K) = -0.05 eV per atom
V = 71.89 Å³ per cell
magnetic moment = 0.00 μB/f.u.
energy above the lowest structure with this stoichiometry = 0 meV/atom

=====

Material: Ge2Ir2Au
Method: DFT, PBE-GGA
State: relaxed

Geometry as POSCAR:
```
Ge2Ir2Au
1.0
3.839 0.000 0.000
0.000 3.839 0.000
1.920 1.920 5.765
Ir Au Ge
2 1 2
Cartesian
1.920 1.920 1.323
3.839 3.839 4.442
0.000 0.000 0.000
1.920 3.839 2.882
3.839 1.920 2.882
```

Results
ΔH_f (0 K) = -0.08 eV per atom
V = 84.97 Å³ per cell
magnetic moment = 0.00 μB/f.u.
energy above the lowest structure with this stoichiometry = 14 meV/atom

=====

Material: GeIr2Au2
Method: DFT, PBE-GGA
State: relaxed

Geometry as POSCAR:
```
GeIr2Au2
1.0
6.278 0.000 0.000
0.000 6.278 0.000
0.000 0.000 4.417
Ir Au Ge
4 4 2
Cartesian
2.241 5.381 0.000
4.037 0.898 0.000
5.381 4.037 0.000
0.898 2.241 0.000
5.229 2.089 2.209
4.189 5.229 2.209
1.050 4.189 2.209
2.089 1.050 2.209
3.139 3.139 0.000
0.000 0.000 0.000
```

Results
ΔH_f (0 K) = 0.12 eV per atom
V = 174.13 Å³ per cell
magnetic moment = 0.00 μB/f.u.

=====

Material: Ge2IrAu2
Method: DFT, PBE-GGA
State: relaxed

Geometry as POSCAR:
```
Ge2IrAu2
1.0
3.633 0.000 0.000
0.000 3.633 0.000
1.817 1.817 6.925
Ir Ge Au
1 2 2
Cartesian
0.000 0.000 0.000
1.817 3.633 3.463
3.633 1.817 3.463
1.817 1.817 1.351
3.633 3.633 5.574
```

Results
ΔH_f (0 K) = 0.59 eV per atom
V = 91.42 Å³ per cell
magnetic moment = 0.00 μB/f.u.
energy above the lowest structure with this stoichiometry = 428 meV/atom

=====

Material: GeIr3Au
Method: DFT, PBE-GGA
State: relaxed

Geometry as POSCAR:
```
GeIr3Au
1.0
-2.142 -0.165 -4.387
-0.796 -4.786 0.568
-4.318 0.964 2.072
Ir Ge Au
3 1 1
Cartesian
-2.159 0.482 1.036
-0.398 -2.393 0.284
-1.071 -0.082 -2.194
-3.628 -1.993 -0.874
0.000 0.000 0.000
```

Results
ΔH_f (0 K) = 2.24 eV per atom
V = 116.57 Å³ per cell
magnetic moment = 2.96 μB/f.u.
energy above the lowest structure with this stoichiometry = 1024 meV/atom

=====

Material: Ge2Ir2Au
Method: DFT, PBE-GGA
State: relaxed

Geometry as POSCAR:
```
Ge2Ir2Au
1.0
7.384 0.000 0.000
0.000 7.384 0.000
0.000 0.000 2.906
Ir Ge Au
4 4 2
Cartesian
4.760 1.068 0.000
2.624 6.316 0.000
1.068 2.624 0.000
6.316 4.760 0.000
4.819 6.257 1.453
2.565 1.127 1.453
1.127 4.819 1.453
6.257 2.565 1.453
0.000 0.000 0.000
3.692 3.692 0.000
```

Results
ΔH_f (0 K) = -0.09 eV per atom
V = 158.49 Å³ per cell
magnetic moment = 0.00 μB/f.u.
energy above the lowest structure with this stoichiometry = 0 meV/atom

=====

- The lowest V belongs to which entry?
  number 3

=====

- What is the V in the fourth record?
  84.97 Å³ per cell

=====

- What is the ΔH_f (0 K) in the seventh record?
  2.24 eV per atom